# 1
Here is PmErCo after structural relaxation from Alexandria. Energies are from GGA-PBE.

Calculated values
* space-group type: No. 12
* ρ: 8.37 g/cm3
* formation energy from the elements: -136 meV per atom

a b c (Å): 12.225 3.689 8.096
angles (deg): 90.00 126.19 90.00
Sites, in units of the cell vectors:
1 Pm 0.173 0.000 0.089
2 Pm 0.327 0.500 0.911
3 Pm 0.673 0.500 0.089
4 Pm 0.827 0.000 0.911
5 Er 0.078 0.500 0.390
6 Er 0.422 0.000 0.610
7 Er 0.578 0.000 0.390
8 Er 0.922 0.500 0.610
9 Co 0.114 0.000 0.689
10 Co 0.386 0.500 0.311
11 Co 0.614 0.500 0.689
12 Co 0.886 0.000 0.311



# 2
Here is Dy2HoPd9 after structural relaxation from Alexandria. Energies are from GGA-PBE.

Calculated values
* space-group type: No. 123
* ρ: 11.46 g/cm3
* formation energy from the elements: -878 meV per atom

a b c (Å): 4.120 4.120 12.360
angles (deg): 90.00 90.00 90.00
Sites, in units of the cell vectors:
1 Dy 0.000 0.000 0.167
2 Dy 0.000 0.000 0.833
3 Ho 0.000 0.000 0.500
4 Pd 0.000 0.500 0.000
5 Pd 0.000 0.500 0.334
6 Pd 0.000 0.500 0.666
7 Pd 0.500 0.000 0.000
8 Pd 0.500 0.000 0.334
9 Pd 0.500 0.000 0.666
10 Pd 0.500 0.500 0.167
11 Pd 0.500 0.500 0.500
12 Pd 0.500 0.500 0.833



# 3
Here is GeB2Ir2 after structural relaxation from Alexandria. Energies are from GGA-PBE.

Calculated values
* space-group type: No. 139
* ρ: 13.13 g/cm3
* formation energy from the elements: -91 meV per atom

a b c (Å): 3.014 3.014 13.332
angles (deg): 90.00 90.00 90.00
Sites, in units of the cell vectors:
1 Ge 0.000 0.000 0.000
2 Ge 0.500 0.500 0.500
3 B 0.000 0.500 0.250
4 B 0.000 0.500 0.750
5 B 0.500 0.000 0.250
6 B 0.500 0.000 0.750
7 Ir 0.000 0.000 0.365
8 Ir 0.000 0.000 0.635
9 Ir 0.500 0.500 0.135
10 Ir 0.500 0.500 0.865



# 4
Here is Ba2PdPb6 after structural relaxation from Alexandria. Energies are from GGA-PBE.

Calculated values
* space-group type: No. 164
* ρ: 9.34 g/cm3
* formation energy from the elements: -396 meV per atom

a b c (Å): 7.218 7.218 6.398
angles (deg): 90.00 90.00 120.00
Sites, in units of the cell vectors:
1 Ba 0.333 0.667 0.321
2 Ba 0.667 0.333 0.679
3 Pd 0.000 0.000 0.500
4 Pb 0.168 0.335 0.807
5 Pb 0.168 0.832 0.807
6 Pb 0.335 0.168 0.193
7 Pb 0.665 0.832 0.807
8 Pb 0.832 0.168 0.193
9 Pb 0.832 0.665 0.193



| no. | DOS at the Fermi energy (states/eV/f.u.) |
| --- | --- |
| 1 | 2.6 |
| 2 | 9.1 |
| 3 | 2.6 |
| 4 | 4.7 |